Compound: Er4Tm4Sc3
Source: Alexandria
Functional: GGA-PBE
Structure: relaxed

abc: 3.387 5.414 17.474
angles: 81.13 84.44 90.00
Atoms (fractional coordinates):
Er  0.089  0.089  0.321
Er  0.232  0.732  0.036
Er  0.768  0.268  0.964
Er  0.911  0.911  0.679
Tm  0.045  0.545  0.409
Tm  0.178  0.179  0.142
Tm  0.822  0.821  0.858
Tm  0.955  0.455  0.591
Sc  0.365  0.365  0.771
Sc  0.500  0.000  0.500
Sc  0.635  0.635  0.229

Output
Energy of formation = 0.101 eV/atom
E_tot = -54.02 eV/f.u.


Compound: ErTm6Sc4
Source: Alexandria
Functional: GGA-PBE
Structure: relaxed

abc: 8.067 8.067 8.067
angles: 123.83 123.83 83.48
Atoms (fractional coordinates):
Er  0.000  0.000  0.000
Tm  0.000  0.500  0.500
Tm  0.255  0.586  0.000
Tm  0.414  0.414  0.668
Tm  0.500  0.000  0.500
Tm  0.586  0.255  0.000
Tm  0.745  0.745  0.332
Sc  0.079  0.079  0.515
Sc  0.437  0.921  0.000
Sc  0.563  0.563  0.485
Sc  0.921  0.437  0.000

Output
Energy of formation = 0.554 eV/atom
Energy relative to the lowest polymorph listed for this composition = 235 meV per atom
E_tot = -50.63 eV/f.u.


Compound: Er2Tm5Sc2
Source: Alexandria
Functional: GGA-PBE
Structure: relaxed

abc: 8.825 8.825 9.275
angles: 104.31 104.31 22.27
Atoms (fractional coordinates):
Er  0.148  0.148  0.029
Er  0.852  0.852  0.971
Tm  0.000  0.000  0.500
Tm  0.169  0.169  0.400
Tm  0.342  0.342  0.286
Tm  0.658  0.658  0.714
Tm  0.831  0.831  0.600
Sc  0.488  0.488  0.822
Sc  0.512  0.512  0.178

Output
Energy of formation = 0.106 eV/atom
Energy relative to the lowest polymorph listed for this composition = 0 meV per atom
E_tot = -43.19 eV/f.u.


Compound: Er12Tm6Sc
Source: Alexandria
Functional: GGA-PBE
Structure: relaxed

abc: 8.522 8.522 8.522
angles: 98.32 98.32 98.32
Atoms (fractional coordinates):
Er  0.000  0.257  0.743
Er  0.000  0.743  0.257
Er  0.146  0.146  0.417
Er  0.146  0.417  0.146
Er  0.257  0.000  0.743
Er  0.257  0.743  0.000
Er  0.417  0.146  0.146
Er  0.583  0.854  0.854
Er  0.743  0.000  0.257
Er  0.743  0.257  0.000
Er  0.854  0.583  0.854
Er  0.854  0.854  0.583
Tm  0.163  0.597  0.597
Tm  0.403  0.403  0.837
Tm  0.403  0.837  0.403
Tm  0.597  0.163  0.597
Tm  0.597  0.597  0.163
Tm  0.837  0.403  0.403
Sc  0.500  0.500  0.500

Output
Energy of formation = 0.221 eV/atom
Energy relative to the lowest polymorph listed for this composition = 46 meV per atom
E_tot = -83.72 eV/f.u.


Compound: Er4Tm5Sc
Source: Alexandria
Functional: GGA-PBE
Structure: relaxed

abc: 3.486 9.194 9.772
angles: 74.54 89.94 79.07
Atoms (fractional coordinates):
Er  0.098  0.303  0.303
Er  0.099  0.302  0.796
Er  0.901  0.698  0.204
Er  0.902  0.697  0.697
Tm  0.300  0.900  0.900
Tm  0.301  0.899  0.400
Tm  0.500  0.500  0.000
Tm  0.699  0.101  0.600
Tm  0.700  0.100  0.100
Sc  0.500  0.500  0.500

Output
Energy of formation = 0.034 eV/atom
Energy relative to the lowest polymorph listed for this composition = 0 meV per atom
E_tot = -46.60 eV/f.u.


Compound: ErTm4Sc
Source: Alexandria
Functional: GGA-PBE
Structure: relaxed

abc: 5.462 3.530 18.312
angles: 90.00 90.00 90.00
Atoms (fractional coordinates):
Er  0.000  0.000  0.000
Er  0.000  0.500  0.500
Tm  0.000  0.000  0.332
Tm  0.000  0.000  0.669
Tm  0.000  0.500  0.169
Tm  0.000  0.500  0.832
Tm  0.500  0.000  0.114
Tm  0.500  0.000  0.443
Tm  0.500  0.500  0.614
Tm  0.500  0.500  0.943
Sc  0.500  0.000  0.777
Sc  0.500  0.500  0.277

Output
Energy of formation = 0.003 eV/atom
Energy relative to the lowest polymorph listed for this composition = 0 meV per atom
E_tot = -28.76 eV/f.u.


Compound: Er4Tm4Sc
Source: Alexandria
Functional: GGA-PBE
Structure: relaxed

abc: 7.765 7.765 7.765
angles: 95.72 95.72 143.20
Atoms (fractional coordinates):
Er  0.165  0.165  0.330
Er  0.165  0.835  0.000
Er  0.835  0.165  0.000
Er  0.835  0.835  0.670
Tm  0.168  0.500  0.668
Tm  0.500  0.168  0.668
Tm  0.500  0.832  0.332
Tm  0.832  0.500  0.332
Sc  0.500  0.500  0.000

Output
Energy of formation = 0.034 eV/atom
Energy relative to the lowest polymorph listed for this composition = 0 meV per atom
E_tot = -42.16 eV/f.u.


Compound: ErTm8Sc2
Source: Alexandria
Functional: GGA-PBE
Structure: relaxed

abc: 8.748 8.748 6.422
angles: 100.50 100.50 43.13
Atoms (fractional coordinates):
Er  0.000  0.000  0.000
Tm  0.173  0.649  0.586
Tm  0.241  0.241  0.304
Tm  0.351  0.827  0.414
Tm  0.408  0.408  0.089
Tm  0.592  0.592  0.911
Tm  0.649  0.173  0.586
Tm  0.759  0.759  0.696
Tm  0.827  0.351  0.414
Sc  0.203  0.203  0.795
Sc  0.797  0.797  0.205

Output
Energy of formation = 0.215 eV/atom
Energy relative to the lowest polymorph listed for this composition = 87 meV per atom
E_tot = -50.63 eV/f.u.


Compound: Er2TmSc
Source: Alexandria
Functional: GGA-PBE
Structure: relaxed

abc: 6.749 6.687 10.666
angles: 90.00 90.09 90.00
Atoms (fractional coordinates):
Er  0.124  0.128  0.113
Er  0.124  0.872  0.613
Er  0.369  0.377  0.884
Er  0.369  0.623  0.384
Er  0.631  0.377  0.616
Er  0.631  0.623  0.116
Er  0.876  0.128  0.387
Er  0.876  0.872  0.887
Tm  0.376  0.127  0.391
Tm  0.376  0.873  0.891
Tm  0.624  0.127  0.109
Tm  0.624  0.873  0.609
Sc  0.122  0.376  0.611
Sc  0.122  0.624  0.111
Sc  0.878  0.376  0.889
Sc  0.878  0.624  0.389

Output
Energy of formation = 0.231 eV/atom
Energy relative to the lowest polymorph listed for this composition = 203 meV per atom
E_tot = -19.01 eV/f.u.


Compound: ErTm3Sc3
Source: Alexandria
Functional: GGA-PBE
Structure: relaxed

abc: 5.881 5.886 13.963
angles: 77.88 77.92 60.03
Atoms (fractional coordinates):
Er  0.167  0.167  0.000
Er  0.833  0.833  0.000
Tm  0.096  0.430  0.209
Tm  0.236  0.904  0.791
Tm  0.430  0.764  0.209
Tm  0.570  0.236  0.791
Tm  0.764  0.096  0.209
Tm  0.904  0.570  0.791
Sc  0.032  0.697  0.406
Sc  0.303  0.636  0.594
Sc  0.364  0.032  0.406
Sc  0.636  0.968  0.594
Sc  0.697  0.364  0.406
Sc  0.968  0.303  0.594

Output
Energy of formation = 0.155 eV/atom
Energy relative to the lowest polymorph listed for this composition = 0 meV per atom
E_tot = -35.89 eV/f.u.


Compound: Er2Tm8Sc3
Source: Alexandria
Functional: GGA-PBE
Structure: relaxed

abc: 5.535 6.142 11.529
angles: 78.69 79.65 88.61
Atoms (fractional coordinates):
Er  0.247  0.162  0.007
Er  0.753  0.838  0.993
Tm  0.118  0.055  0.337
Tm  0.189  0.605  0.169
Tm  0.304  0.716  0.848
Tm  0.360  0.260  0.699
Tm  0.640  0.740  0.301
Tm  0.696  0.284  0.152
Tm  0.811  0.395  0.831
Tm  0.882  0.945  0.663
Sc  0.000  0.500  0.500
Sc  0.435  0.762  0.561
Sc  0.565  0.238  0.439

Output
Energy of formation = 0.072 eV/atom
Energy relative to the lowest polymorph listed for this composition = 0 meV per atom
E_tot = -62.95 eV/f.u.


Compound: Er5Tm4Sc2
Source: Alexandria
Functional: GGA-PBE
Structure: relaxed

abc: 12.134 12.134 12.134
angles: 163.83 137.06 46.17
Atoms (fractional coordinates):
Er  0.000  0.000  0.000
Er  0.052  0.351  0.701
Er  0.350  0.649  0.701
Er  0.650  0.351  0.299
Er  0.948  0.649  0.299
Tm  0.310  0.500  0.810
Tm  0.401  0.901  0.500
Tm  0.599  0.099  0.500
Tm  0.690  0.500  0.190
Sc  0.270  0.770  0.500
Sc  0.730  0.230  0.500

Output
Energy of formation = 0.260 eV/atom
Energy relative to the lowest polymorph listed for this composition = 221 meV per atom
E_tot = -50.50 eV/f.u.


Compound: Er2Tm4Sc
Source: Alexandria
Functional: GGA-PBE
Structure: relaxed

abc: 5.408 12.001 12.988
angles: 90.00 90.00 90.00
Atoms (fractional coordinates):
Er  0.001  0.072  0.156
Er  0.001  0.428  0.656
Er  0.499  0.572  0.156
Er  0.499  0.928  0.656
Er  0.501  0.072  0.344
Er  0.501  0.428  0.844
Er  0.999  0.572  0.344
Er  0.999  0.928  0.844
Tm  0.002  0.144  0.681
Tm  0.002  0.245  0.925
Tm  0.002  0.255  0.425
Tm  0.002  0.356  0.181
Tm  0.498  0.644  0.681
Tm  0.498  0.745  0.925
Tm  0.498  0.755  0.425
Tm  0.498  0.856  0.181
Tm  0.502  0.144  0.819
Tm  0.502  0.245  0.575
Tm  0.502  0.255  0.075
Tm  0.502  0.356  0.319
Tm  0.998  0.644  0.819
Tm  0.998  0.745  0.575
Tm  0.998  0.755  0.075
Tm  0.998  0.856  0.319
Sc  0.000  0.000  0.500
Sc  0.000  0.500  0.000
Sc  0.500  0.000  0.000
Sc  0.500  0.500  0.500

Output
Energy of formation = 0.190 eV/atom
Energy relative to the lowest polymorph listed for this composition = 184 meV per atom
E_tot = -32.01 eV/f.u.


Compound: Er3Tm5Sc2
Source: Alexandria
Functional: GGA-PBE
Structure: relaxed

abc: 10.693 10.693 10.693
angles: 108.34 81.35 146.70
Atoms (fractional coordinates):
Er  0.245  0.158  0.403
Er  0.250  0.250  0.000
Er  0.255  0.658  0.913
Er  0.745  0.342  0.087
Er  0.750  0.750  0.000
Er  0.755  0.842  0.597
Tm  0.159  0.402  0.561
Tm  0.250  0.001  0.751
Tm  0.250  0.499  0.249
Tm  0.250  0.750  0.500
Tm  0.341  0.902  0.242
Tm  0.659  0.098  0.758
Tm  0.750  0.250  0.500
Tm  0.750  0.501  0.751
Tm  0.750  0.999  0.249
Tm  0.841  0.598  0.439
Sc  0.155  0.900  0.055
Sc  0.345  0.400  0.745
Sc  0.655  0.600  0.255
Sc  0.845  0.100  0.945

Output
Energy of formation = 0.373 eV/atom
Energy relative to the lowest polymorph listed for this composition = 332 meV per atom
E_tot = -44.98 eV/f.u.


Compound: Er2TmSc
Source: Alexandria
Functional: GGA-PBE
Structure: relaxed

abc: 3.462 3.462 9.623
angles: 90.00 90.00 90.00
Atoms (fractional coordinates):
Er  0.000  0.000  0.241
Er  0.000  0.000  0.759
Tm  0.500  0.500  0.500
Sc  0.500  0.500  0.000

Output
Energy of formation = 0.041 eV/atom
Energy relative to the lowest polymorph listed for this composition = 14 meV per atom
E_tot = -19.76 eV/f.u.


Compound: Er3Tm12Sc
Source: Alexandria
Functional: GGA-PBE
Structure: relaxed

abc: 4.919 4.919 19.648
angles: 90.00 90.00 90.00
Atoms (fractional coordinates):
Er  0.000  0.000  0.000
Er  0.000  0.000  0.251
Er  0.000  0.000  0.749
Tm  0.000  0.500  0.126
Tm  0.000  0.500  0.378
Tm  0.000  0.500  0.622
Tm  0.000  0.500  0.874
Tm  0.500  0.000  0.126
Tm  0.500  0.000  0.378
Tm  0.500  0.000  0.622
Tm  0.500  0.000  0.874
Tm  0.500  0.500  0.000
Tm  0.500  0.500  0.252
Tm  0.500  0.500  0.500
Tm  0.500  0.500  0.748
Sc  0.000  0.000  0.500

Output
Energy of formation = 0.031 eV/atom
E_tot = -73.18 eV/f.u.


Compound: Er9TmSc2
Source: Alexandria
Functional: GGA-PBE
Structure: relaxed

abc: 10.932 10.932 3.425
angles: 90.00 90.00 120.00
Atoms (fractional coordinates):
Er  0.000  0.500  0.000
Er  0.179  0.357  0.500
Er  0.179  0.821  0.500
Er  0.357  0.179  0.500
Er  0.500  0.000  0.000
Er  0.500  0.500  0.000
Er  0.643  0.821  0.500
Er  0.821  0.179  0.500
Er  0.821  0.643  0.500
Tm  0.000  0.000  0.000
Sc  0.333  0.667  0.000
Sc  0.667  0.333  0.000

Output
Energy of formation = 0.052 eV/atom
Energy relative to the lowest polymorph listed for this composition = 14 meV per atom
E_tot = -57.57 eV/f.u.


Compound: Er2Tm8Sc3
Source: Alexandria
Functional: GGA-PBE
Structure: relaxed

abc: 10.410 10.410 5.428
angles: 90.00 90.00 138.32
Atoms (fractional coordinates):
Er  0.240  0.760  0.000
Er  0.760  0.240  0.000
Tm  0.127  0.873  0.500
Tm  0.185  0.391  0.000
Tm  0.337  0.663  0.500
Tm  0.391  0.185  0.000
Tm  0.609  0.815  0.000
Tm  0.663  0.337  0.500
Tm  0.815  0.609  0.000
Tm  0.873  0.127  0.500
Sc  0.000  0.000  0.000
Sc  0.289  0.289  0.500
Sc  0.711  0.711  0.500

Output
Energy of formation = 0.236 eV/atom
Energy relative to the lowest polymorph listed for this composition = 164 meV per atom
E_tot = -60.82 eV/f.u.


Compound: Er2Tm3Sc2
Source: Alexandria
Functional: GGA-PBE
Structure: relaxed

abc: 5.118 22.994 3.411
angles: 90.00 90.00 90.00
Atoms (fractional coordinates):
Er  0.000  0.075  0.000
Er  0.000  0.925  0.000
Er  0.500  0.425  0.000
Er  0.500  0.575  0.000
Tm  0.000  0.344  0.500
Tm  0.000  0.500  0.500
Tm  0.000  0.656  0.500
Tm  0.500  0.000  0.500
Tm  0.500  0.156  0.500
Tm  0.500  0.844  0.500
Sc  0.000  0.216  0.000
Sc  0.000  0.784  0.000
Sc  0.500  0.284  0.000
Sc  0.500  0.716  0.000

Output
Energy of formation = 0.038 eV/atom
Energy relative to the lowest polymorph listed for this composition = 0 meV per atom
E_tot = -34.94 eV/f.u.


Compound: ErTm2Sc7
Source: Alexandria
Functional: GGA-PBE
Structure: relaxed

abc: 9.324 9.324 4.964
angles: 90.00 90.00 132.96
Atoms (fractional coordinates):
Er  0.000  0.000  0.000
Tm  0.264  0.736  0.500
Tm  0.736  0.264  0.500
Sc  0.099  0.293  0.500
Sc  0.293  0.099  0.500
Sc  0.408  0.592  0.000
Sc  0.500  0.500  0.500
Sc  0.592  0.408  0.000
Sc  0.707  0.901  0.500
Sc  0.901  0.707  0.500

Output
Energy of formation = 0.618 eV/atom
E_tot = -51.65 eV/f.u.